No. 1
Material: Tb6Pm3NdDy2
Method: DFT, PBE-GGA
State: relaxed

Calculated values
crystal system	monoclinic
total DFT energy (no corrections)	-4.653	eV/atom
space-group type	C2/m

a b c (Å): 6.218 6.218 11.889
angles (deg): 94.99 94.99 119.97
Atoms (fractional coordinates):
Tb  0.917  0.583  0.752
Tb  0.749  0.749  0.248
Tb  0.083  0.417  0.248
Tb  0.583  0.917  0.752
Tb  0.251  0.251  0.752
Tb  0.417  0.083  0.248
Pm  0.167  0.833  0.500
Pm  0.833  0.167  0.500
Pm  0.500  0.500  0.500
Nd  0.000  0.000  0.000
Dy  0.333  0.667  0.000
Dy  0.667  0.333  0.000

=====

No. 2
Material: Ho6PPt2Se3
Method: DFT, PBE-GGA
State: relaxed

Calculated values
ΔE_f (raw)	-1539	meV per atom
crystal system	monoclinic
space-group type	C2/m

a b c (Å): 6.965 6.965 7.273
angles (deg): 99.23 99.23 120.18
Atoms (fractional coordinates):
Ho  0.923  0.590  0.769
Ho  0.743  0.743  0.232
Ho  0.077  0.410  0.231
Ho  0.590  0.923  0.769
Ho  0.257  0.257  0.768
Ho  0.410  0.077  0.231
P  0.000  0.000  0.000
Pt  0.333  0.667  0.000
Pt  0.667  0.333  0.000
Se  0.164  0.836  0.500
Se  0.836  0.164  0.500
Se  0.500  0.500  0.500

=====

No. 3
Material: FeMo2Br
Method: DFT, PBE-GGA
State: relaxed

Calculated values
ΔE_f (raw)	936	meV per atom
crystal system	orthorhombic
space-group type	Cmmm

a b c (Å): 4.859 4.859 2.943
angles (deg): 90.00 90.00 114.98
Site moments in Bohr magnetons follow the coordinates.
Atoms (fractional coordinates):
Br  0.500  0.000  0.500  0.02
Fe  0.000  0.500  0.500  2.38
Mo  0.000  0.000  0.000  0.01
Mo  0.500  0.500  0.000  0.01

=====

No. 4
Material: CeTcNiAs2
Method: DFT, PBE-GGA
State: relaxed

Calculated values
crystal system	tetragonal
total DFT energy (no corrections)	-6.920	eV/atom
space-group type	I-4m2

a b c (Å): 3.961 3.961 6.429
angles (deg): 107.94 107.94 90.00
Site moments in Bohr magnetons follow the coordinates.
Atoms (fractional coordinates):
Ce  0.000  0.000  0.000  0.67
Tc  0.750  0.250  0.500  0.04
Ni  0.250  0.750  0.500  0.02
As  0.629  0.629  0.259  0.00
As  0.371  0.371  0.741  0.00

=====

No. 5
Material: PaBeHg2O6
Method: DFT, PBE-GGA
State: relaxed

Calculated values
ΔE_f (raw)	-1678	meV per atom
crystal system	triclinic
space-group type	P1

a b c (Å): 5.482 5.998 7.021
angles (deg): 49.40 55.52 61.95
Site moments in Bohr magnetons follow the coordinates.
Atoms (fractional coordinates):
Pa  0.816  0.817  0.530  -0.02
Be  0.265  0.373  0.170  -0.01
Hg  0.558  0.588  0.282  0.06
Hg  0.032  0.080  0.791  0.03
O  0.487  0.174  0.342  0.22
O  0.099  0.128  0.266  0.13
O  0.991  0.624  0.267  0.16
O  0.476  0.567  0.848  0.10
O  0.756  0.871  0.849  0.10
O  0.183  0.439  0.670  0.12

=====

No. 6
Material: Ta2PtBr
Method: DFT, PBE-GGA
State: relaxed

Calculated values
ΔE_f (raw)	148	meV per atom
crystal system	monoclinic
space-group type	Cm

a b c (Å): 5.232 5.232 4.980
angles (deg): 74.43 74.43 33.15
Atoms (fractional coordinates):
Br  0.495  0.495  0.545
Pt  0.267  0.267  0.179
Ta  0.006  0.006  0.084
Ta  0.732  0.732  0.692

=====

No. 7
Material: BaSiPt2
Method: DFT, PBE-GGA
State: relaxed

Calculated values
ΔE_f (raw)	-449	meV per atom
crystal system	monoclinic
space-group type	P2/m

a b c (Å): 3.582 3.827 7.146
angles (deg): 73.71 90.00 90.00
Atoms (fractional coordinates):
Ba  0.500  0.750  0.750
Pt  0.000  0.077  0.085
Pt  0.000  0.423  0.415
Si  0.500  0.250  0.250

=====

No. 8
Material: Tl3BiPb
Method: DFT, PBE-GGA
State: relaxed

Calculated values
crystal system	cubic
total DFT energy (no corrections)	-2.458	eV/atom
space-group type	Pm-3m

a b c (Å): 5.924 5.924 5.924
angles (deg): 90.00 90.00 90.00
Site moments in Bohr magnetons follow the coordinates.
Atoms (fractional coordinates):
Pb  0.000  0.000  0.000  0.02
Tl  0.000  0.500  0.000  0.00
Tl  0.000  0.000  0.500  0.01
Tl  0.500  0.000  0.000  0.00
Bi  0.500  0.500  0.500  0.30

=====

No. 9
Material: Li2ZnMo
Method: DFT, PBE-GGA
State: relaxed

Calculated values
crystal system	orthorhombic
total DFT energy (no corrections)	-3.850	eV/atom
space-group type	Cmmm

a b c (Å): 2.584 2.584 9.348
angles (deg): 90.00 90.00 105.61
Atoms (fractional coordinates):
Li  0.000  0.000  0.994
Li  0.000  0.000  0.506
Mo  0.500  0.500  0.250
Zn  0.500  0.500  0.750

=====

No. 10
Material: Ho2MgSe4
Method: DFT, PBE-GGA
State: relaxed

Calculated values
ΔE_f (raw)	-1608	meV per atom
crystal system	tetragonal
space-group type	I-42d

a b c (Å): 7.517 7.517 7.517
angles (deg): 110.55 110.55 107.34
Atoms (fractional coordinates):
Ho  0.375  0.493  0.618
Ho  0.507  0.125  0.882
Ho  0.875  0.757  0.382
Ho  0.243  0.625  0.118
Mg  0.750  0.250  0.500
Mg  0.000  0.000  0.000
Se  0.633  0.870  0.631
Se  0.130  0.760  0.762
Se  0.240  0.002  0.369
Se  0.998  0.367  0.238
Se  0.117  0.248  0.738
Se  0.620  0.883  0.131
Se  0.510  0.380  0.262
Se  0.752  0.490  0.869

=====

No. 11
Material: Cd12Hg5Ge3
Method: DFT, PBE-GGA
State: relaxed

Calculated values
crystal system	cubic
total DFT energy (no corrections)	-1.119	eV/atom
space-group type	Ia-3d

a b c (Å): 14.441 14.441 14.441
angles (deg): 109.47 109.47 109.47
Atoms (fractional coordinates):
Ge  0.750  0.375  0.125
Ge  0.875  0.750  0.125
Ge  0.375  0.750  0.625
Ge  0.250  0.125  0.375
Ge  0.875  0.125  0.250
Ge  0.375  0.625  0.250
Ge  0.625  0.375  0.750
Ge  0.125  0.875  0.750
Ge  0.750  0.875  0.625
Ge  0.625  0.250  0.375
Ge  0.125  0.250  0.875
Ge  0.250  0.625  0.875
Hg  0.125  0.375  0.250
Hg  0.000  0.500  0.000
Hg  0.000  0.000  0.000
Hg  0.375  0.250  0.125
Hg  0.500  0.000  0.500
Hg  0.500  0.500  0.000
Hg  0.125  0.750  0.375
Hg  0.750  0.125  0.875
Hg  0.750  0.625  0.375
Hg  0.375  0.125  0.750
Hg  0.625  0.875  0.250
Hg  0.500  0.500  0.500
Hg  0.500  0.000  0.000
Hg  0.000  0.000  0.500
Hg  0.250  0.375  0.625
Hg  0.250  0.875  0.125
Hg  0.000  0.500  0.500
Hg  0.875  0.250  0.625
Hg  0.625  0.750  0.875
Hg  0.875  0.625  0.750
Cd  0.735  0.139  0.071
Cd  0.336  0.571  0.432
Cd  0.929  0.361  0.265
Cd  0.571  0.235  0.139
Cd  0.596  0.735  0.664
Cd  0.929  0.568  0.164
Cd  0.336  0.765  0.404
Cd  0.068  0.904  0.139
Cd  0.568  0.929  0.664
Cd  0.735  0.596  0.164
Cd  0.765  0.429  0.361
Cd  0.836  0.932  0.071
Cd  0.139  0.735  0.571
Cd  0.361  0.432  0.096
Cd  0.096  0.932  0.361
Cd  0.404  0.139  0.568
Cd  0.096  0.164  0.235
Cd  0.429  0.664  0.068
Cd  0.836  0.904  0.265
Cd  0.139  0.404  0.068
Cd  0.361  0.929  0.765
Cd  0.568  0.639  0.404
Cd  0.932  0.836  0.571
Cd  0.765  0.336  0.904
Cd  0.432  0.361  0.596
Cd  0.068  0.164  0.429
Cd  0.235  0.664  0.096
Cd  0.164  0.096  0.735
Cd  0.639  0.071  0.235
Cd  0.861  0.596  0.932
Cd  0.571  0.336  0.932
Cd  0.596  0.861  0.432
Cd  0.904  0.836  0.765
Cd  0.904  0.068  0.639
Cd  0.861  0.265  0.429
Cd  0.164  0.068  0.929
Cd  0.639  0.568  0.904
Cd  0.432  0.071  0.336
Cd  0.265  0.404  0.836
Cd  0.235  0.571  0.639
Cd  0.932  0.096  0.861
Cd  0.664  0.235  0.596
Cd  0.429  0.765  0.861
Cd  0.071  0.432  0.836
Cd  0.404  0.265  0.336
Cd  0.071  0.639  0.735
Cd  0.664  0.429  0.568
Cd  0.265  0.861  0.929

=====

No. 12
Material: Ca3MgU2As6
Method: DFT, PBE-GGA
State: relaxed

Calculated values
crystal system	monoclinic
total DFT energy (no corrections)	-5.752	eV/atom
space-group type	C2/m

a b c (Å): 7.162 7.162 7.219
angles (deg): 99.49 99.49 119.97
Site moments in Bohr magnetons follow the coordinates.
Atoms (fractional coordinates):
Ca  0.164  0.836  0.500  -0.01
Ca  0.836  0.164  0.500  -0.01
Ca  0.500  0.500  0.500  -0.01
Mg  0.000  0.000  0.000  0.00
U  0.333  0.667  0.000  1.28
U  0.667  0.333  0.000  1.28
As  0.924  0.582  0.773  -0.05
As  0.735  0.735  0.229  -0.05
As  0.076  0.418  0.227  -0.05
As  0.582  0.924  0.773  -0.05
As  0.265  0.265  0.771  -0.05
As  0.418  0.076  0.227  -0.05